(1)
Here is a geometry-optimized ZrHgS2 structure from Alexandria. Energies are from PBE.

a = 7.4495 Å, b = 7.4495 Å, c = 7.4495 Å
α = 120.02°, β = 120.02°, γ = 89.96°
Positions (direct):
Zr: 0.0000 0.0000 0.0000
Zr: 0.7500 0.2500 0.5000
Hg: 0.2500 0.7500 0.5000
Hg: 0.5000 0.5000 0.0000
S: 0.3750 0.2322 0.3572
S: 0.7678 0.1250 0.1428
S: 0.8750 0.0178 0.6428
S: 0.9822 0.6250 0.8572

Formation energy without anion corrections (eV per formula unit): -3.39
Total energy (eV/f.u.): -20.5
M_tot (μB per formula unit): 0.00


(2)
Here is a geometry-optimized CaHo2IrO8 structure from Alexandria. Energies are from PBE.

a = 5.0091 Å, b = 6.8630 Å, c = 5.0216 Å
α = 90.00°, β = 90.44°, γ = 90.00°
Positions (direct):
Ca: 0.0000 0.0000 0.0000
Ho: 0.5000 0.2441 0.5000
Ho: 0.5000 0.7559 0.5000
Ir: 0.0000 0.5000 0.0000
O: 0.1868 0.3014 0.8163
O: 0.1868 0.6986 0.8163
O: 0.2692 0.5000 0.2722
O: 0.3107 0.0000 0.3139
O: 0.6893 0.0000 0.6861
O: 0.7308 0.5000 0.7278
O: 0.8132 0.3014 0.1837
O: 0.8132 0.6986 0.1837

Formation energy without anion corrections (eV per formula unit): -25.33
Total energy (eV/f.u.): -85.0
M_tot (μB per formula unit): 0.89


(3)
Here is a geometry-optimized TmPu2Zn structure from Alexandria. Energies are from PBE.

a = 5.2071 Å, b = 5.2071 Å, c = 5.2071 Å
α = 60.00°, β = 60.00°, γ = 60.00°
Positions (direct):
Tm: 0.0000 0.0000 0.0000
Pu: 0.2500 0.2500 0.2500
Pu: 0.7500 0.7500 0.7500
Zn: 0.5000 0.5000 0.5000

Excess energy over the best structure of this formula in the dataset (meV per atom): 134
Formation energy (eV per atom): 0.227
Total energy (eV/f.u.): -33.5
M_tot (μB per formula unit): 11.94


(4)
Here is a geometry-optimized Sr6NpO8 structure from Alexandria. Energies are from PBE.

a = 7.3113 Å, b = 7.3113 Å, c = 7.3113 Å
α = 60.00°, β = 60.00°, γ = 60.00°
Positions (direct):
Sr: 0.0000 0.0000 0.5000
Sr: 0.0000 0.5000 0.0000
Sr: 0.0000 0.5000 0.5000
Sr: 0.5000 0.0000 0.0000
Sr: 0.5000 0.0000 0.5000
Sr: 0.5000 0.5000 0.0000
Np: 0.0000 0.0000 0.0000
O: 0.2177 0.2177 0.7823
O: 0.2177 0.7823 0.2177
O: 0.2177 0.7823 0.7823
O: 0.2500 0.2500 0.2500
O: 0.7500 0.7500 0.7500
O: 0.7823 0.2177 0.2177
O: 0.7823 0.2177 0.7823
O: 0.7823 0.7823 0.2177

Formation energy without anion corrections (eV per formula unit): -42.05
Total energy (eV/f.u.): -104.8
M_tot (μB per formula unit): 3.00


(5)
Here is a geometry-optimized Ca2Si4Tc3 structure from Alexandria. Energies are from PBE.

a = 6.7854 Å, b = 6.7975 Å, c = 6.7145 Å
α = 90.00°, β = 109.56°, γ = 90.00°
Positions (direct):
Ca: 0.1839 0.1633 0.0558
Ca: 0.1839 0.3367 0.5558
Ca: 0.8161 0.6633 0.4442
Ca: 0.8161 0.8367 0.9442
Si: 0.1026 0.5472 0.8817
Si: 0.1026 0.9528 0.3817
Si: 0.4953 0.6386 0.6327
Si: 0.4953 0.8614 0.1327
Si: 0.5047 0.1386 0.8673
Si: 0.5047 0.3614 0.3673
Si: 0.8974 0.0472 0.6183
Si: 0.8974 0.4528 0.1183
Tc: 0.2473 0.6589 0.2554
Tc: 0.2473 0.8411 0.7554
Tc: 0.5000 0.0000 0.5000
Tc: 0.5000 0.5000 0.0000
Tc: 0.7527 0.1589 0.2446
Tc: 0.7527 0.3411 0.7446

Formation energy without anion corrections (eV per formula unit): -4.64
Total energy (eV/f.u.): -61.4
M_tot (μB per formula unit): 0.00


(6)
Here is a geometry-optimized Rb4GaI7 structure from Alexandria. Energies are from PBE.

a = 10.5944 Å, b = 10.5944 Å, c = 14.8029 Å
α = 128.11°, β = 128.11°, γ = 32.40°
Positions (direct):
Rb: 0.1105 0.1105 0.3716
Rb: 0.2867 0.2867 0.1720
Rb: 0.7133 0.7133 0.8280
Rb: 0.8895 0.8895 0.6284
Ga: 0.5000 0.5000 0.0000
I: 0.0000 0.0000 0.0000
I: 0.1212 0.1212 0.8478
I: 0.3215 0.3215 0.4451
I: 0.3530 0.3530 0.7945
I: 0.6470 0.6470 0.2055
I: 0.6785 0.6785 0.5549
I: 0.8788 0.8788 0.1522

Formation energy without anion corrections (eV per formula unit): -11.92
Total energy (eV/f.u.): -29.7
M_tot (μB per formula unit): 0.01


(7)
Here is a geometry-optimized LiTa4Be structure from Alexandria. Energies are from PBE.

a = 5.4360 Å, b = 5.4360 Å, c = 5.4360 Å
α = 60.00°, β = 60.00°, γ = 60.00°
Positions (direct):
Li: 0.0000 0.0000 0.0000
Ta: 0.3747 0.3747 0.3747
Ta: 0.3747 0.3747 0.8758
Ta: 0.3747 0.8758 0.3747
Ta: 0.8758 0.3747 0.3747
Be: 0.7500 0.7500 0.7500

Formation energy (eV per atom): 0.820
Total energy (eV/f.u.): -48.1
M_tot (μB per formula unit): 0.00


(8)
Here is a geometry-optimized Pr7Nd3Mg structure from Alexandria. Energies are from PBE.

a = 7.2386 Å, b = 7.2386 Å, c = 8.8628 Å
α = 90.00°, β = 90.00°, γ = 120.00°
Positions (direct):
Pr: 0.0000 0.0000 0.0000
Pr: 0.1650 0.3300 0.6662
Pr: 0.1650 0.8350 0.6662
Pr: 0.5004 0.0009 0.9976
Pr: 0.5004 0.4996 0.9976
Pr: 0.6700 0.8350 0.6662
Pr: 0.9991 0.4996 0.9976
Nd: 0.3313 0.1657 0.3331
Nd: 0.8343 0.1657 0.3331
Nd: 0.8343 0.6687 0.3331
Mg: 0.6667 0.3333 0.6692

Formation energy (eV per atom): 0.161
Total energy (eV/f.u.): -47.6
M_tot (μB per formula unit): 0.00


(9)
Here is a geometry-optimized Pu6Ga2Si structure from Alexandria. Energies are from PBE.

a = 8.6910 Å, b = 8.6910 Å, c = 3.0816 Å
α = 90.00°, β = 90.00°, γ = 120.00°
Positions (direct):
Pu: 0.0000 0.3301 0.0000
Pu: 0.0000 0.6699 0.0000
Pu: 0.3301 0.0000 0.0000
Pu: 0.3301 0.3301 0.0000
Pu: 0.6699 0.0000 0.0000
Pu: 0.6699 0.6699 0.0000
Ga: 0.3333 0.6667 0.5000
Ga: 0.6667 0.3333 0.5000
Si: 0.0000 0.0000 0.5000

Formation energy without anion corrections (eV per formula unit): -0.32
Total energy (eV/f.u.): -97.8
M_tot (μB per formula unit): 34.47


(10)
Here is a geometry-optimized Ac2Er3Cd4 structure from Alexandria. Energies are from PBE.

a = 9.9521 Å, b = 9.9521 Å, c = 8.4850 Å
α = 90.00°, β = 90.00°, γ = 138.94°
Positions (direct):
Ac: 0.0955 0.9045 0.8994
Ac: 0.4045 0.5955 0.3995
Ac: 0.5955 0.4045 0.6006
Ac: 0.9045 0.0955 0.1006
Er: 0.0000 0.0000 0.5000
Er: 0.0077 0.4923 0.7500
Er: 0.4923 0.0077 0.2500
Er: 0.5000 0.5000 0.0000
Er: 0.5077 0.9923 0.7500
Er: 0.9923 0.5077 0.2500
Cd: 0.1666 0.8334 0.5117
Cd: 0.1768 0.3232 0.7500
Cd: 0.3232 0.1768 0.2500
Cd: 0.3334 0.6666 0.0117
Cd: 0.6666 0.3334 0.9883
Cd: 0.6768 0.8232 0.7500
Cd: 0.8232 0.6768 0.2500
Cd: 0.8334 0.1666 0.4883

Formation energy (eV per atom): -0.174
Total energy (eV/f.u.): -27.1
M_tot (μB per formula unit): 0.00


(11)
Here is a geometry-optimized Rb3Na2TlI6 structure from Alexandria. Energies are from PBE.

a = 11.2186 Å, b = 11.2186 Å, c = 10.1132 Å
α = 103.18°, β = 103.18°, γ = 25.80°
Positions (direct):
Rb: 0.0000 0.0000 0.0000
Rb: 0.3367 0.3367 0.6663
Rb: 0.6633 0.6633 0.3337
Na: 0.3291 0.3291 0.1606
Na: 0.6709 0.6709 0.8394
Tl: 0.0000 0.0000 0.5000
I: 0.1662 0.1662 0.6088
I: 0.1741 0.1741 0.0664
I: 0.4880 0.4880 0.2503
I: 0.5120 0.5120 0.7497
I: 0.8259 0.8259 0.9336
I: 0.8338 0.8338 0.3912

Formation energy without anion corrections (eV per formula unit): -15.12
Total energy (eV/f.u.): -32.3
M_tot (μB per formula unit): 0.00